Computed, not measured: RbGe2Sb2 at its PBEsol-relaxed geometry at the SCAN level of DFT.

Properties
- ΔE_f (raw): -0.04 eV/atom
- Density of states at the Fermi level: 0.5443 states/eV per atom
- Raw total energy: -26.732 eV per atom
- Relative energy among the computed polymorphs: 48 meV/atom
- Symmetry: I4/mmm

Lattice parameters (Å, degrees): 5.2399 5.2399 6.3761 114.26 114.26 90.00
Closest atoms and distances in Å follow each position.
Positions (direct):
Sb 0.2500 0.7500 0.5000  4 Ge 2.88
Sb 0.7500 0.2500 0.5000  4 Ge 2.88
Ge 0.3659 0.3659 0.7318  1 Ge 2.78, 4 Sb 2.88
Ge 0.6341 0.6341 0.2682  1 Ge 2.78, 4 Sb 2.88
Rb 0.0000 0.0000 0.0000  8 Sb 3.69, 10 Ge 3.80-3.96